Entry from the Alexandria database: crystalline CuOsC3 at its relaxed geometry (PBE).

Geometry as CIF:
```
data_CuOsC3
_space_group_name_H-M_alt 'P 1'
_space_group_IT_number 1
_cell_length_a 3.728
_cell_length_b 3.728
_cell_length_c 3.728
_cell_angle_alpha 90.00
_cell_angle_beta 90.00
_cell_angle_gamma 90.00
loop_
_space_group_symop_operation_xyz
'x,y,z'
loop_
_atom_site_label
_atom_site_type_symbol
_atom_site_fract_x
_atom_site_fract_y
_atom_site_fract_z
Cu1 Cu 0.000 0.000 0.000
Os1 Os 0.500 0.500 0.500
C1 C 0.000 0.000 0.500
C2 C 0.000 0.500 0.000
C3 C 0.500 0.000 0.000
```

Calculated values
- Volume: 51.8 Å³ per cell
- Crystal system: cubic
- Symmetry: Pm-3m

Entry from the Alexandria database: crystalline K2AlSn at its relaxed geometry (PBE).

Geometry as CIF:
```
data_K2AlSn
_space_group_name_H-M_alt 'P 1'
_space_group_IT_number 1
_cell_length_a 9.855
_cell_length_b 9.855
_cell_length_c 9.855
_cell_angle_alpha 94.10
_cell_angle_beta 94.10
_cell_angle_gamma 148.98
loop_
_space_group_symop_operation_xyz
'x,y,z'
loop_
_atom_site_label
_atom_site_type_symbol
_atom_site_fract_x
_atom_site_fract_y
_atom_site_fract_z
K1 K 0.375 0.119 0.244
K2 K 0.869 0.625 0.744
K3 K 0.875 0.131 0.756
K4 K 0.881 0.125 0.256
Al1 Al 0.000 0.000 0.000
Al2 Al 0.750 0.250 0.500
Sn1 Sn 0.250 0.750 0.500
Sn2 Sn 0.500 0.500 0.000
```

Calculated values
- Volume: 475.2 Å³ per cell
- Crystal system: tetragonal
- Symmetry: I-42d

no.,relative energy among the computed polymorphs (kcal/mol of atoms)
1,21.253
2,0.000